First-principles (PBE) data for an optimized crystal structure of CoI2, as listed in OQMD via LeMat-Bulk.

Results
Electronic total energy in eV per atom: -3.26
Space group: No. 15
Calculated volume in Å³ per atom: 33.8

a b c (Å): 7.352 7.352 6.904
angles (deg): 101.88 101.88 33.83
Sites, in units of the cell vectors:
Co: 0.000 0.000 0.000
Co: 0.000 0.000 0.500
I: 0.033 0.716 0.194
I: 0.284 0.967 0.306
I: 0.716 0.033 0.694
I: 0.967 0.284 0.806



First-principles (PBE) data for an optimized crystal structure of CoI2, as listed in OQMD via LeMat-Bulk.

Results
Electronic total energy in eV per atom: -3.36
Space group: No. 36
Calculated volume in Å³ per atom: 31.1

a b c (Å): 3.931 3.931 13.878
angles (deg): 90.00 90.00 119.66
Sites, in units of the cell vectors:
Co: 0.663 0.337 0.120
Co: 0.337 0.663 0.620
I: 0.992 0.008 0.010
I: 0.334 0.666 0.230
I: 0.008 0.992 0.510
I: 0.666 0.334 0.730



First-principles (PBE) data for an optimized crystal structure of Co3I, as listed in OQMD via LeMat-Bulk.

Results
Electronic total energy in eV per atom: -4.78
Space group: No. 225
Calculated volume in Å³ per atom: 13.8

a b c (Å): 4.269 4.269 4.269
angles (deg): 60.00 60.00 60.00
Sites, in units of the cell vectors:
Co: 0.000 0.000 0.000
Co: 0.250 0.250 0.250
Co: 0.500 0.500 0.500
I: 0.750 0.750 0.750



First-principles (PBE) data for an optimized crystal structure of Co3IrI, as listed in OQMD via LeMat-Bulk.

Results
Electronic total energy in eV per atom: -4.54
Space group: No. 221
Calculated volume in Å³ per atom: 18.2

a b c (Å): 4.495 4.495 4.495
angles (deg): 90.00 90.00 90.00
Sites, in units of the cell vectors:
Co: 0.500 0.000 0.000
Co: 0.000 0.500 0.000
Co: 0.000 0.000 0.500
I: 0.000 0.000 0.000
Ir: 0.500 0.500 0.500



First-principles (PBE) data for an optimized crystal structure of Nd2Co2I, as listed in OQMD via LeMat-Bulk.

Results
Electronic total energy in eV per atom: -5.63
Space group: No. 187
Calculated volume in Å³ per atom: 24.4

a b c (Å): 3.993 3.993 8.819
angles (deg): 90.00 90.00 120.00
Sites, in units of the cell vectors:
Co: 0.667 0.333 0.500
Co: 0.333 0.667 0.500
I: 0.667 0.333 0.000
Nd: 0.000 0.000 0.290
Nd: 0.000 0.000 0.710



First-principles (PBE) data for an optimized crystal structure of Nd2Co2I, as listed in OQMD via LeMat-Bulk.

Results
Electronic total energy in eV per atom: -5.63
Space group: No. 194
Calculated volume in Å³ per atom: 24.3

a b c (Å): 3.988 3.988 17.626
angles (deg): 90.00 90.00 120.00
Sites, in units of the cell vectors:
Co: 0.333 0.667 0.000
Co: 0.333 0.667 0.500
Co: 0.667 0.333 0.500
Co: 0.667 0.333 0.000
I: 0.667 0.333 0.250
I: 0.333 0.667 0.750
Nd: 0.000 0.000 0.106
Nd: 0.000 0.000 0.394
Nd: 0.000 0.000 0.606
Nd: 0.000 0.000 0.894



First-principles (PBE) data for an optimized crystal structure of Nd7CoI12, as listed in OQMD via LeMat-Bulk.

Results
Electronic total energy in eV per atom: -4.18
Space group: No. 148
Calculated volume in Å³ per atom: 41.2

a b c (Å): 9.988 9.988 9.988
angles (deg): 107.25 107.25 107.25
Sites, in units of the cell vectors:
Co: 0.000 0.000 0.000
I: 0.683 0.228 0.075
I: 0.391 0.471 0.158
I: 0.075 0.683 0.228
I: 0.772 0.925 0.317
I: 0.471 0.158 0.391
I: 0.158 0.391 0.471
I: 0.842 0.609 0.529
I: 0.529 0.842 0.609
I: 0.228 0.075 0.683
I: 0.925 0.317 0.772
I: 0.609 0.529 0.842
I: 0.317 0.772 0.925
Nd: 0.300 0.099 0.029
Nd: 0.029 0.300 0.099
Nd: 0.099 0.029 0.300
Nd: 0.500 0.500 0.500
Nd: 0.901 0.971 0.700
Nd: 0.971 0.700 0.901
Nd: 0.700 0.901 0.971